# SrCaPt2

SrCaPt2 at its PBEsol-relaxed geometry (SCAN, Alexandria via LeMat-Bulk).

Results
energy above the lowest structure with this stoichiometry = 0.00 kJ/mol of atoms
uncorrected energy = -175.8 eV/f.u.

Lattice parameters (Å, degrees): 4.982 4.982 4.982 60.00 60.00 60.00
Element x y z (fractional)
Sr1 0.000 0.000 0.000
Ca1 0.500 0.500 0.500
Pt1 0.250 0.250 0.250
Pt2 0.750 0.750 0.750

=====

# Ba2In3Au

Ba2In3Au at its PBEsol-relaxed geometry (SCAN, Alexandria via LeMat-Bulk).

Results
uncorrected energy = -252.5 eV/f.u.

Lattice parameters (Å, degrees): 6.362 6.362 8.294 128.94 128.94 46.61
Element x y z (fractional)
Ba1 0.000 0.000 0.000
Ba2 0.112 0.112 0.613
In1 0.382 0.382 0.207
In2 0.408 0.408 0.599
In3 0.720 0.720 0.395
Au1 0.721 0.721 0.031

=====

# Sc2ZnCr

Sc2ZnCr at its PBEsol-relaxed geometry (SCAN, Alexandria via LeMat-Bulk).

Results
uncorrected energy = -60.6 eV/f.u.

Lattice parameters (Å, degrees): 5.115 5.115 5.115 132.96 132.96 68.72
Element x y z (fractional)
Sc1 0.000 0.000 0.000
Sc2 0.750 0.250 0.500
Zn1 0.500 0.500 0.000
Cr1 0.250 0.750 0.500

=====

# KRb2MnF6

KRb2MnF6 at its PBEsol-relaxed geometry (SCAN, Alexandria via LeMat-Bulk).

Results
formation energy without anion corrections = -2.962 eV/atom
uncorrected energy = -118.9 eV/f.u.

Lattice parameters (Å, degrees): 6.237 6.237 6.237 60.00 60.00 60.00
Element x y z (fractional)
K1 0.000 0.000 0.000
Rb1 0.250 0.250 0.250
Rb2 0.750 0.750 0.750
Mn1 0.500 0.500 0.500
F1 0.281 0.281 0.719
F2 0.281 0.719 0.281
F3 0.281 0.719 0.719
F4 0.719 0.281 0.281
F5 0.719 0.281 0.719
F6 0.719 0.719 0.281

=====

# NaTa2H

NaTa2H at its PBEsol-relaxed geometry (SCAN, Alexandria via LeMat-Bulk).

Results
uncorrected energy = -134.0 eV/f.u.

Lattice parameters (Å, degrees): 4.373 4.373 4.373 60.00 60.00 60.00
Element x y z (fractional)
Na1 0.000 0.000 0.000
Ta1 0.250 0.250 0.250
Ta2 0.750 0.750 0.750
H1 0.500 0.500 0.500

=====

# Cs2TlVF6

Cs2TlVF6 at its PBEsol-relaxed geometry (SCAN, Alexandria via LeMat-Bulk).

Results
formation energy without anion corrections = -2.901 eV/atom
uncorrected energy = -215.7 eV/f.u.

Lattice parameters (Å, degrees): 6.469 6.469 6.469 60.00 60.00 60.00
Element x y z (fractional)
Cs1 0.250 0.250 0.250
Cs2 0.750 0.750 0.750
Tl1 0.000 0.000 0.000
V1 0.500 0.500 0.500
F1 0.288 0.288 0.712
F2 0.288 0.712 0.288
F3 0.288 0.712 0.712
F4 0.712 0.288 0.288
F5 0.712 0.288 0.712
F6 0.712 0.712 0.288

=====

# ScHS2N

ScHS2N at its PBEsol-relaxed geometry (SCAN, Alexandria via LeMat-Bulk).

Results
uncorrected energy = -43.1 eV/f.u.

Lattice parameters (Å, degrees): 4.889 4.889 4.205 90.00 90.00 90.00
Element x y z (fractional)
Sc1 0.000 0.000 0.000
H1 0.500 0.500 0.500
S1 0.000 0.500 0.000
S2 0.500 0.000 0.000
N1 0.000 0.000 0.500

=====

# SrPb2Au

SrPb2Au at its PBEsol-relaxed geometry (SCAN, Alexandria via LeMat-Bulk).

Results
uncorrected energy = -244.3 eV/f.u.

Lattice parameters (Å, degrees): 5.301 5.301 5.301 60.00 60.00 60.00
Element x y z (fractional)
Sr1 0.000 0.000 0.000
Pb1 0.250 0.250 0.250
Pb2 0.750 0.750 0.750
Au1 0.500 0.500 0.500

=====

# MgVCrS4

MgVCrS4 at its PBEsol-relaxed geometry (SCAN, Alexandria via LeMat-Bulk).

Results
formation energy without anion corrections = -1.291 eV/atom
uncorrected energy = -88.4 eV/f.u.

Lattice parameters (Å, degrees): 7.184 7.184 7.184 122.04 120.32 87.98
Element x y z (fractional)
Mg1 0.377 0.127 0.250
Mg2 0.623 0.873 0.750
V1 0.000 0.000 0.500
V2 0.000 0.500 0.000
Cr1 0.000 0.500 0.500
Cr2 0.500 0.500 0.000
S1 0.212 0.731 0.481
S2 0.234 0.257 0.523
S3 0.234 0.711 0.977
S4 0.250 0.269 0.981
S5 0.750 0.731 0.019
S6 0.766 0.289 0.023
S7 0.766 0.743 0.477
S8 0.788 0.269 0.519

=====

# Ta5Re

Ta5Re at its PBEsol-relaxed geometry (SCAN, Alexandria via LeMat-Bulk).

Results
energy above the lowest structure with this stoichiometry = 0.00 kJ/mol of atoms
uncorrected energy = -405.2 eV/f.u.

Lattice parameters (Å, degrees): 5.397 5.397 6.522 107.93 107.93 34.49
Element x y z (fractional)
Ta1 0.000 0.000 0.000
Ta2 0.336 0.336 0.174
Ta3 0.339 0.339 0.663
Ta4 0.661 0.661 0.337
Ta5 0.664 0.664 0.826
Re1 0.000 0.000 0.500

=====

# MnAs2BrCl

MnAs2BrCl at its PBEsol-relaxed geometry (SCAN, Alexandria via LeMat-Bulk).

Results
formation energy without anion corrections = 0.785 eV/atom
uncorrected energy = -82.2 eV/f.u.

Lattice parameters (Å, degrees): 4.629 4.629 6.101 90.00 90.00 90.00
Element x y z (fractional)
Mn1 0.000 0.000 0.000
As1 0.000 0.500 0.500
As2 0.500 0.000 0.500
Br1 0.500 0.500 0.000
Cl1 0.500 0.500 0.500

=====

# MgCuSi4O10

MgCuSi4O10 at its PBEsol-relaxed geometry (SCAN, Alexandria via LeMat-Bulk).

Results
formation energy without anion corrections = -2.728 eV/atom
uncorrected energy = -166.2 eV/f.u.

Lattice parameters (Å, degrees): 7.173 7.173 14.724 90.00 90.00 90.00
Element x y z (fractional)
Mg1 0.250 0.750 0.000
Mg2 0.250 0.750 0.500
Mg3 0.750 0.250 0.000
Mg4 0.750 0.250 0.500
Cu1 0.250 0.250 0.071
Cu2 0.250 0.250 0.571
Cu3 0.750 0.750 0.429
Cu4 0.750 0.750 0.929
Si1 0.008 0.579 0.143
Si2 0.008 0.921 0.643
Si3 0.079 0.508 0.357
Si4 0.079 0.992 0.857
Si5 0.421 0.508 0.857
Si6 0.421 0.992 0.357
Si7 0.492 0.579 0.643
Si8 0.492 0.921 0.143
Si9 0.508 0.079 0.857
Si10 0.508 0.421 0.357
Si11 0.579 0.008 0.643
Si12 0.579 0.492 0.143
Si13 0.921 0.008 0.143
Si14 0.921 0.492 0.643
Si15 0.992 0.079 0.357
Si16 0.992 0.421 0.857
O1 0.006 0.697 0.621
O2 0.006 0.803 0.121
O3 0.008 0.668 0.426
O4 0.008 0.832 0.926
O5 0.050 0.550 0.250
O6 0.050 0.950 0.750
O7 0.168 0.508 0.074
O8 0.168 0.992 0.574
O9 0.197 0.506 0.879
O10 0.197 0.994 0.379
O11 0.303 0.506 0.379
O12 0.303 0.994 0.879
O13 0.332 0.508 0.574
O14 0.332 0.992 0.074
O15 0.450 0.550 0.750
O16 0.450 0.950 0.250
O17 0.492 0.668 0.926
O18 0.492 0.832 0.426
O19 0.494 0.697 0.121
O20 0.494 0.803 0.621
O21 0.506 0.197 0.379
O22 0.506 0.303 0.879
O23 0.508 0.168 0.574
O24 0.508 0.332 0.074
O25 0.550 0.050 0.750
O26 0.550 0.450 0.250
O27 0.668 0.008 0.926
O28 0.668 0.492 0.426
O29 0.697 0.006 0.121
O30 0.697 0.494 0.621
O31 0.803 0.006 0.621
O32 0.803 0.494 0.121
O33 0.832 0.008 0.426
O34 0.832 0.492 0.926
O35 0.950 0.050 0.250
O36 0.950 0.450 0.750
O37 0.992 0.168 0.074
O38 0.992 0.332 0.574
O39 0.994 0.197 0.879
O40 0.994 0.303 0.379

=====

# InSi2Te

InSi2Te at its PBEsol-relaxed geometry (SCAN, Alexandria via LeMat-Bulk).

Results
energy above the lowest structure with this stoichiometry = 39.78 kJ/mol of atoms
formation energy without anion corrections = 0.699 eV/atom
uncorrected energy = -87.9 eV/f.u.

Lattice parameters (Å, degrees): 4.905 4.905 4.905 120.43 120.43 89.26
Element x y z (fractional)
In1 0.000 0.000 0.000
Si1 0.250 0.750 0.500
Si2 0.750 0.250 0.500
Te1 0.500 0.500 0.000

=====

# SiAgSb2

SiAgSb2 at its PBEsol-relaxed geometry (SCAN, Alexandria via LeMat-Bulk).

Results
formation energy without anion corrections = 0.358 eV/atom
uncorrected energy = -114.5 eV/f.u.

Lattice parameters (Å, degrees): 3.616 3.616 6.836 90.00 90.00 90.00
Element x y z (fractional)
Si1 0.000 0.000 0.000
Ag1 0.500 0.500 0.216
Sb1 0.000 0.000 0.410
Sb2 0.500 0.500 0.811

=====

# Sc2PPb

Sc2PPb at its PBEsol-relaxed geometry (SCAN, Alexandria via LeMat-Bulk).

Results
energy above the lowest structure with this stoichiometry = 47.12 kJ/mol of atoms
uncorrected energy = -117.3 eV/f.u.

Lattice parameters (Å, degrees): 3.814 4.099 5.258 90.00 90.00 90.00
Element x y z (fractional)
Sc1 0.000 0.000 0.000
Sc2 0.000 0.500 0.500
P1 0.500 0.000 0.500
Pb1 0.500 0.500 0.000

=====

# CsCu3Br

CsCu3Br at its PBEsol-relaxed geometry (SCAN, Alexandria via LeMat-Bulk).

Results
energy above the lowest structure with this stoichiometry = 0.00 kJ/mol of atoms
formation energy without anion corrections = 0.891 eV/atom
uncorrected energy = -98.4 eV/f.u.

Lattice parameters (Å, degrees): 5.003 5.003 5.003 90.00 90.00 90.00
Element x y z (fractional)
Cs1 0.000 0.000 0.000
Cu1 0.000 0.500 0.500
Cu2 0.500 0.000 0.500
Cu3 0.500 0.500 0.000
Br1 0.500 0.500 0.500

=====

# PbAu2Br

PbAu2Br at its PBEsol-relaxed geometry (SCAN, Alexandria via LeMat-Bulk).

Results
energy above the lowest structure with this stoichiometry = 0.00 kJ/mol of atoms
formation energy without anion corrections = -0.014 eV/atom
uncorrected energy = -233.6 eV/f.u.

Lattice parameters (Å, degrees): 5.376 5.376 5.376 134.06 113.93 84.20
Element x y z (fractional)
Pb1 0.000 0.000 0.000
Au1 0.567 0.567 0.000
Au2 0.773 0.273 0.500
Br1 0.347 0.847 0.500

=====

# LiTi2Se2

LiTi2Se2 at its PBEsol-relaxed geometry (SCAN, Alexandria via LeMat-Bulk).

Results
formation energy without anion corrections = -0.897 eV/atom
uncorrected energy = -79.1 eV/f.u.

Lattice parameters (Å, degrees): 6.944 6.944 3.312 90.00 90.00 90.00
Element x y z (fractional)
Li1 0.000 0.000 0.000
Li2 0.500 0.500 0.000
Ti1 0.142 0.358 0.500
Ti2 0.358 0.858 0.500
Ti3 0.642 0.142 0.500
Ti4 0.858 0.642 0.500
Se1 0.153 0.653 0.000
Se2 0.347 0.153 0.000
Se3 0.653 0.847 0.000
Se4 0.847 0.347 0.000

=====

# Ba4YRe

Ba4YRe at its PBEsol-relaxed geometry (SCAN, Alexandria via LeMat-Bulk).

Results
uncorrected energy = -248.9 eV/f.u.

Lattice parameters (Å, degrees): 6.744 6.744 6.744 60.00 60.00 60.00
Element x y z (fractional)
Ba1 0.124 0.124 0.124
Ba2 0.124 0.124 0.628
Ba3 0.124 0.628 0.124
Ba4 0.628 0.124 0.124
Y1 0.500 0.500 0.500
Re1 0.750 0.750 0.750

=====

# BeZnPb2

BeZnPb2 at its PBEsol-relaxed geometry (SCAN, Alexandria via LeMat-Bulk).

Results
energy above the lowest structure with this stoichiometry = 18.96 kJ/mol of atoms
uncorrected energy = -167.4 eV/f.u.

Lattice parameters (Å, degrees): 3.385 3.747 6.882 90.00 100.90 90.00
Element x y z (fractional)
Be1 0.000 0.000 0.000
Zn1 0.000 0.000 0.500
Pb1 0.443 0.500 0.233
Pb2 0.557 0.500 0.767